[1]
Nd4GaBr5 | PBE | relaxed

abc: 4.2169 8.6965 9.6747
angles: 102.68 102.59 90.00
With the nearest neighbours (Å) after each atom.
Fractional positions:
Br1 0.8331 0.6699 0.6662  3 Nd 2.99-3.07
Br2 0.5000 0.5000 0.0000  4 Nd 3.15
Br3 0.8292 0.1614 0.6585  4 Nd 3.05-3.23
Br4 0.1708 0.8386 0.3415  4 Nd 3.05-3.23
Br5 0.1669 0.3301 0.3338  3 Nd 2.99-3.07
Nd1 0.3461 0.9187 0.6923  1 Ga 2.83, 4 Br 2.99-3.05
Nd2 0.0005 0.2312 0.0010  2 Ga 2.91, 4 Br 3.07-3.15
Nd3 0.6539 0.0813 0.3077  1 Ga 2.83, 4 Br 2.99-3.05
Nd4 0.9995 0.7688 0.9990  2 Ga 2.91, 4 Br 3.07-3.15
Ga1 0.5000 0.0000 0.0000  6 Nd 2.83-2.91

## Properties
DFT total energy in eV per atom: -4.48
Symmetry: No. 12
Uncorrected formation energy in eV/f.u.: -14.4
DOS at the Fermi energy in states/eV/f.u.: 4.568



[2]
LaAs2PbSe | PBE | relaxed

abc: 5.6444 5.6444 5.6629
angles: 90.00 90.00 90.00
With the nearest neighbours (Å) after each atom.
Fractional positions:
Pb1 0.5000 0.5000 0.5000  4 Se 3.99, 8 As 4.00
As1 0.0000 0.5000 0.0000  2 La 2.82
As2 0.5000 0.0000 0.0000  2 La 2.82
La1 0.0000 0.0000 0.0000  4 As 2.82, 2 Se 2.83
Se1 0.0000 0.0000 0.5000  2 La 2.83

## Properties
DFT total energy in eV per atom: -4.18
Symmetry: No. 123
Uncorrected formation energy in eV/f.u.: 0.5
DOS at the Fermi energy in states/eV/f.u.: 6.735
Offset from the most stable computed form in meV/atom: 84.3



[3]
CoNi2Sb | PBE | relaxed

abc: 3.2448 3.2448 5.2053
angles: 90.00 90.00 90.00
With the nearest neighbours (Å) after each atom.
Fractional positions:
Ni1 0.0000 0.0000 0.5183  1 Ni 2.41, 4 Co 2.59, 4 Sb 2.69
Ni2 0.0000 0.0000 0.9817  1 Ni 2.41, 4 Co 2.59, 4 Sb 2.69
Co1 0.5000 0.5000 0.7500  8 Ni 2.59, 2 Sb 2.60
Sb1 0.5000 0.5000 0.2500  2 Co 2.60, 8 Ni 2.69

## Properties
DFT total energy in eV per atom: -5.55
Symmetry: No. 123
Uncorrected formation energy in eV/f.u.: 0.6
DOS at the Fermi energy in states/eV/f.u.: 6.220



[4]
TmMg2Zn | PBE | relaxed

abc: 3.2930 3.2930 8.1991
angles: 90.00 90.00 90.00
With the nearest neighbours (Å) after each atom.
Fractional positions:
Mg1 0.0000 0.0000 0.2060  4 Zn 2.88
Mg2 0.0000 0.0000 0.7940  4 Zn 2.88
Zn1 0.5000 0.5000 0.0000  8 Mg 2.88
Tm1 0.5000 0.5000 0.5000  4 Tm 3.29, 8 Mg 3.35

## Properties
DFT total energy in eV per atom: -2.30
Symmetry: No. 123
ΔH_f (0 K) in eV/atom: -0.070
DOS at the Fermi energy in states/eV/f.u.: 3.276



[5]
ZnBiAu2 | PBE | relaxed

abc: 4.3991 4.3991 5.7344
angles: 67.45 67.45 60.00
With the nearest neighbours (Å) after each atom.
Fractional positions:
Bi1 0.5000 0.5000 0.5000  8 Au 3.08-3.40
Au1 0.7207 0.7207 0.8380  3 Zn 2.67
Au2 0.2793 0.2793 0.1620  3 Zn 2.67
Zn1 0.0000 0.0000 0.0000  6 Au 2.67

## Properties
DFT total energy in eV per atom: -3.01
Symmetry: No. 166
ΔH_f (0 K) in eV/atom: -0.086
DOS at the Fermi energy in states/eV/f.u.: 1.724



[6]
CdAg2HPb | PBE | relaxed

abc: 4.2436 4.2436 5.2523
angles: 90.00 90.00 90.00
With the nearest neighbours (Å) after each atom.
Fractional positions:
H1 0.0000 0.0000 0.0000  4 Ag 2.12
Pb1 0.5000 0.5000 0.5000  4 Cd 3.00
Cd1 0.0000 0.0000 0.5000  2 H 2.63
Ag1 0.0000 0.5000 0.0000  2 H 2.12
Ag2 0.5000 0.0000 0.0000  2 H 2.12

## Properties
DFT total energy in eV per atom: -2.48
Symmetry: No. 123
DOS at the Fermi energy in states/eV/f.u.: 1.402